Entry 1:
This record from the Alexandria database describes a relaxed structure of Zn2AgP. The functional is PBE.

Summary:
The calculation puts the formation energy at 0.1775 eV/atom. The value obtained for the density of states at the Fermi level is 2.379 states/eV per cell.

Unit cell a=8.7076 b=2.8474 c=5.4197 alpha=90.00 beta=103.50 gamma=90.00
With the nearest neighbours (Å) after each atom.
Space group Cm (No. 8)
Unique sites:
Zn (0.0000, 0.0000, 0.0000) (multiplicity 2)  2 P 2.58, 5 Zn 2.62-2.85
Zn (0.2477, 0.5000, 0.2170) (multiplicity 2)  5 Zn 2.62-2.85, 3 Ag 2.72-2.80
Ag (0.0023, 0.5000, 0.4716) (multiplicity 2)  5 Zn 2.72-2.92, 3 P 2.77-2.83, 2 Ag 2.85
P (0.2698, 0.0000, 0.7433) (multiplicity 2)  2 Zn 2.58, 3 Ag 2.77-2.83, 2 P 2.85

***

Entry 2:
This record from the Alexandria database describes a relaxed structure of Th3Cd2Hg3. The functional is PBE.

Summary:
The calculation puts the formation energy at -0.1326 eV/atom. The value obtained for the density of states at the Fermi level is 17.622 states/eV per cell.

Unit cell a=4.5524 b=4.9556 c=18.8622 alpha=90.00 beta=90.00 gamma=90.00
With the nearest neighbours (Å) after each atom.
Space group Immm (No. 71)
Unique sites:
Th (0.0000, 0.0000, 0.0000) (multiplicity 2)  8 Hg 3.36-3.37, 4 Th 3.47
Th (0.0000, 0.5000, 0.1284) (multiplicity 4)  4 Cd 3.30-3.31, 6 Hg 3.32-3.37, 2 Th 3.47
Cd (0.0000, 0.0000, 0.2447) (multiplicity 4)  4 Hg 3.12-3.40, 4 Th 3.30-3.31, 4 Cd 3.37
Hg (0.0000, 0.0000, 0.5000) (multiplicity 2)  8 Th 3.32-3.36, 4 Hg 3.51
Hg (0.0000, 0.5000, 0.3680) (multiplicity 4)  4 Cd 3.12-3.40, 6 Th 3.37